## KInAs3 (meta-GGA SCAN)

Data for a PBEsol-optimized structure of KInAs3.

## Properties
The energy relative to the elements is 1453.5 meV per atom. As for the mass density: 4.15 g/cm³. For the size of the total moment, the calculation gives 0.0 μB/f.u.

The structure in POSCAR format:
```
KInAs3
1.0
5.332 0.000 0.000
0.000 5.332 0.000
0.000 0.000 5.332
As K In
3 1 1
Direct
0.000 0.500 0.000
0.000 0.000 0.500
0.500 0.000 0.000
0.000 0.000 0.000
0.500 0.500 0.500
```